# PBE Sm2GeO5, optimized geometry
data_Sm2GeO5
_chemical_formula_sum 'Sm8 Ge4 O20'
_cell_length_a 9.356
_cell_length_b 7.139
_cell_length_c 6.864
_cell_angle_alpha 90.00
_cell_angle_beta 105.63
_cell_angle_gamma 90.00
_space_group_name_H-M_alt 'P 1'
_space_group_IT_number 1
_space_group_name_Hall 'P 1'
loop_
_atom_site_label
_atom_site_fract_x
_atom_site_fract_y
_atom_site_fract_z
Ge1 0.302 0.908 0.028
Ge2 0.698 0.408 0.472
Ge3 0.302 0.592 0.528
Ge4 0.698 0.092 0.972
O1 0.891 0.133 0.005
O2 0.613 0.297 0.009
O3 0.888 0.617 0.063
O4 0.714 0.916 0.166
O5 0.397 0.057 0.226
O6 0.603 0.557 0.274
O7 0.286 0.416 0.334
O8 0.112 0.117 0.437
O9 0.387 0.797 0.491
O10 0.109 0.633 0.495
O11 0.891 0.367 0.505
O12 0.613 0.203 0.509
O13 0.888 0.883 0.563
O14 0.714 0.584 0.666
O15 0.397 0.443 0.726
O16 0.603 0.943 0.774
O17 0.286 0.084 0.834
O18 0.112 0.383 0.937
O19 0.387 0.703 0.991
O20 0.109 0.867 0.995
Sm1 0.370 0.364 0.053
Sm2 0.025 0.373 0.232
Sm3 0.975 0.873 0.268
Sm4 0.630 0.864 0.447
Sm5 0.370 0.136 0.553
Sm6 0.025 0.127 0.732
Sm7 0.975 0.627 0.768
Sm8 0.630 0.636 0.947
# * symmetry: P2_1/c
# * final energy: -246.680 eV for the cell shown
# * V: 13.80 A^3/atom


# PBE LaNdZn2As2O2, optimized geometry
data_LaNdZn2As2O2
_chemical_formula_sum 'La1 Nd1 Zn2 As2 O2'
_cell_length_a 4.065
_cell_length_b 4.065
_cell_length_c 9.009
_cell_angle_alpha 90.00
_cell_angle_beta 90.00
_cell_angle_gamma 90.00
_space_group_name_H-M_alt 'P 1'
_space_group_IT_number 1
_space_group_name_Hall 'P 1'
loop_
_atom_site_label
_atom_site_fract_x
_atom_site_fract_y
_atom_site_fract_z
As1 0.500 0.500 0.325
As2 0.000 0.000 0.676
La1 0.000 0.000 0.134
Nd1 0.500 0.500 0.868
O1 0.500 0.000 0.998
O2 0.000 0.500 0.998
Zn1 0.500 0.000 0.500
Zn2 0.000 0.500 0.500
# * symmetry: P4mm
# * final energy: -46.147 eV for the cell shown
# * V: 18.61 A^3/atom


# PBE Th6In2Tc, optimized geometry
data_Th6In2Tc
_chemical_formula_sum 'Th6 In2 Tc1'
_cell_length_a 3.808
_cell_length_b 8.910
_cell_length_c 8.910
_cell_angle_alpha 120.01
_cell_angle_beta 90.00
_cell_angle_gamma 90.00
_space_group_name_H-M_alt 'P 1'
_space_group_IT_number 1
_space_group_name_Hall 'P 1'
loop_
_atom_site_label
_atom_site_fract_x
_atom_site_fract_y
_atom_site_fract_z
In1 0.500 0.667 0.333
In2 0.500 0.333 0.667
Tc1 0.000 0.000 0.000
Th1 0.000 0.393 0.000
Th2 0.500 0.755 0.000
Th3 0.500 0.245 0.245
Th4 0.000 0.000 0.393
Th5 0.000 0.607 0.607
Th6 0.500 0.000 0.755
# * symmetry: P-62m
# * final energy: -62.288 eV for the cell shown
# * V: 29.09 A^3/atom


# PBE TbPrIn2Pd4, optimized geometry
data_TbPrIn2Pd4
_chemical_formula_sum 'Tb1 Pr1 In2 Pd4'
_cell_length_a 4.639
_cell_length_b 4.639
_cell_length_c 9.097
_cell_angle_alpha 90.00
_cell_angle_beta 90.00
_cell_angle_gamma 120.00
_space_group_name_H-M_alt 'P 1'
_space_group_IT_number 1
_space_group_name_Hall 'P 1'
loop_
_atom_site_label
_atom_site_fract_x
_atom_site_fract_y
_atom_site_fract_z
In1 0.333 0.667 0.255
In2 0.333 0.667 0.745
Pd1 0.667 0.333 0.172
Pd2 0.000 0.000 0.340
Pd3 0.000 0.000 0.660
Pd4 0.667 0.333 0.828
Pr1 0.000 0.000 0.000
Tb1 0.667 0.333 0.500
# * symmetry: P-6m2
# * final energy: -41.975 eV for the cell shown
# * V: 21.19 A^3/atom


# PBE Ge2Pd, optimized geometry
data_Ge2Pd
_chemical_formula_sum 'Ge4 Pd2'
_cell_length_a 5.339
_cell_length_b 5.339
_cell_length_c 5.339
_cell_angle_alpha 60.00
_cell_angle_beta 60.00
_cell_angle_gamma 60.00
_space_group_name_H-M_alt 'P 1'
_space_group_IT_number 1
_space_group_name_Hall 'P 1'
loop_
_atom_site_label
_atom_site_fract_x
_atom_site_fract_y
_atom_site_fract_z
Ge1 0.625 0.625 0.125
Ge2 0.625 0.125 0.625
Ge3 0.125 0.625 0.625
Ge4 0.625 0.625 0.625
Pd1 0.000 0.000 0.000
Pd2 0.250 0.250 0.250
# * symmetry: Fd-3m
# * final energy: -27.230 eV for the cell shown
# * V: 17.94 A^3/atom


# PBE PaBiMo, optimized geometry
data_PaBiMo
_chemical_formula_sum 'Pa1 Bi1 Mo1'
_cell_length_a 4.846
_cell_length_b 4.846
_cell_length_c 4.846
_cell_angle_alpha 60.00
_cell_angle_beta 60.00
_cell_angle_gamma 60.00
_space_group_name_H-M_alt 'P 1'
_space_group_IT_number 1
_space_group_name_Hall 'P 1'
loop_
_atom_site_label
_atom_site_fract_x
_atom_site_fract_y
_atom_site_fract_z
Bi1 0.000 0.000 0.000
Mo1 0.250 0.250 0.250
Pa1 0.750 0.750 0.750
# * energy above the lowest structure with this stoichiometry: 0 meV per atom
# * symmetry: F-43m
# * final energy: -21.430 eV for the cell shown
# * V: 26.82 A^3/atom


# PBE LuGePt, optimized geometry
data_LuGePt
_chemical_formula_sum 'Lu4 Ge4 Pt4'
_cell_length_a 6.876
_cell_length_b 4.326
_cell_length_c 7.584
_cell_angle_alpha 90.00
_cell_angle_beta 90.00
_cell_angle_gamma 90.00
_space_group_name_H-M_alt 'P 1'
_space_group_IT_number 1
_space_group_name_Hall 'P 1'
loop_
_atom_site_label
_atom_site_fract_x
_atom_site_fract_y
_atom_site_fract_z
Ge1 0.307 0.750 0.091
Ge2 0.807 0.750 0.409
Ge3 0.193 0.250 0.591
Ge4 0.693 0.250 0.909
Lu1 0.002 0.250 0.203
Lu2 0.502 0.250 0.297
Lu3 0.498 0.750 0.703
Lu4 0.998 0.750 0.797
Pt1 0.705 0.750 0.083
Pt2 0.205 0.750 0.417
Pt3 0.795 0.250 0.583
Pt4 0.295 0.250 0.917
# * symmetry: Pnma
# * final energy: -74.281 eV for the cell shown
# * V: 18.80 A^3/atom


# PBE ZrZnNO, optimized geometry
data_ZrZnNO
_chemical_formula_sum 'Zr2 Zn2 N2 O2'
_cell_length_a 3.466
_cell_length_b 5.556
_cell_length_c 5.828
_cell_angle_alpha 90.00
_cell_angle_beta 90.00
_cell_angle_gamma 90.00
_space_group_name_H-M_alt 'P 1'
_space_group_IT_number 1
_space_group_name_Hall 'P 1'
loop_
_atom_site_label
_atom_site_fract_x
_atom_site_fract_y
_atom_site_fract_z
N1 0.000 0.901 0.343
N2 0.000 0.401 0.657
O1 0.500 0.356 0.188
O2 0.500 0.856 0.812
Zn1 0.000 0.529 0.337
Zn2 0.000 0.029 0.663
Zr1 0.500 0.968 0.158
Zr2 0.500 0.468 0.842
# * energy above the lowest structure with this stoichiometry: 171 meV per atom
# * symmetry: Pmc2_1
# * final energy: -55.805 eV for the cell shown
# * V: 14.03 A^3/atom


# PBE TcSb, optimized geometry
data_TcSb
_chemical_formula_sum 'Tc1 Sb1'
_cell_length_a 3.278
_cell_length_b 3.278
_cell_length_c 3.956
_cell_angle_alpha 90.00
_cell_angle_beta 90.00
_cell_angle_gamma 120.00
_space_group_name_H-M_alt 'P 1'
_space_group_IT_number 1
_space_group_name_Hall 'P 1'
loop_
_atom_site_label
_atom_site_fract_x
_atom_site_fract_y
_atom_site_fract_z
Sb1 0.667 0.333 0.750
Tc1 0.333 0.667 0.250
# * energy above the lowest structure with this stoichiometry: 111 meV per atom
# * symmetry: P-6m2
# * final energy: -14.042 eV for the cell shown
# * V: 18.40 A^3/atom


# PBE Co2Se, optimized geometry
data_Co2Se
_chemical_formula_sum 'Co4 Se2'
_cell_length_a 4.970
_cell_length_b 4.970
_cell_length_c 3.688
_cell_angle_alpha 90.00
_cell_angle_beta 90.00
_cell_angle_gamma 90.00
_space_group_name_H-M_alt 'P 1'
_space_group_IT_number 1
_space_group_name_Hall 'P 1'
loop_
_atom_site_label
_atom_site_fract_x
_atom_site_fract_y
_atom_site_fract_z
Co1 0.314 0.314 0.000
Co2 0.686 0.686 0.000
Co3 0.814 0.186 0.500
Co4 0.186 0.814 0.500
Se1 0.000 0.000 0.000
Se2 0.500 0.500 0.500
# * energy above the lowest structure with this stoichiometry: 418 meV per atom
# * symmetry: P4_2/mnm
# * final energy: -32.519 eV for the cell shown
# * V: 15.19 A^3/atom


# PBE NaScNiGe, optimized geometry
data_NaScNiGe
_chemical_formula_sum 'Na1 Sc1 Ni1 Ge1'
_cell_length_a 4.471
_cell_length_b 4.471
_cell_length_c 4.471
_cell_angle_alpha 60.00
_cell_angle_beta 60.00
_cell_angle_gamma 60.00
_space_group_name_H-M_alt 'P 1'
_space_group_IT_number 1
_space_group_name_Hall 'P 1'
loop_
_atom_site_label
_atom_site_fract_x
_atom_site_fract_y
_atom_site_fract_z
Ge1 0.500 0.500 0.500
Na1 0.750 0.750 0.750
Ni1 0.250 0.250 0.250
Sc1 0.000 0.000 0.000
# * energy above the lowest structure with this stoichiometry: 0 meV per atom
# * symmetry: F-43m
# * final energy: -18.754 eV for the cell shown
# * V: 15.80 A^3/atom


# PBE Sm3Fe2B2As3, optimized geometry
data_Sm3Fe2B2As3
_chemical_formula_sum 'Sm3 Fe2 B2 As3'
_cell_length_a 11.438
_cell_length_b 11.438
_cell_length_c 11.438
_cell_angle_alpha 159.42
_cell_angle_beta 159.42
_cell_angle_gamma 29.27
_space_group_name_H-M_alt 'P 1'
_space_group_IT_number 1
_space_group_name_Hall 'P 1'
loop_
_atom_site_label
_atom_site_fract_x
_atom_site_fract_y
_atom_site_fract_z
As1 0.131 0.131 0.000
As2 0.500 0.500 0.000
As3 0.869 0.869 0.000
B1 0.228 0.228 0.000
B2 0.772 0.772 0.000
Fe1 0.750 0.250 0.500
Fe2 0.250 0.750 0.500
Sm1 0.000 0.000 0.000
Sm2 0.363 0.363 0.000
Sm3 0.637 0.637 0.000
# * symmetry: I4/mmm
# * final energy: -64.841 eV for the cell shown
# * V: 18.48 A^3/atom